The following is a GGA-PBE calculation of a geometry-optimized Cs2Hg2Bi2Pb5 structure, from Alexandria via LeMat-Bulk.

Results
Calculated formation energy (kcal/mol of atoms): 1.00
V (Å³ per atom): 46.855

Cell: 5.446 5.446 34.754 Å, 90.00 90.00 90.00°
Space group I4/mmm (No. 139)
Symmetry-distinct sites (fractional):
Cs 0.000 0.000 0.208 x4
Hg 0.000 0.000 0.081 x4
Bi 0.000 0.000 0.328 x4
Pb 0.000 0.000 0.000 x2
Pb 0.000 0.500 0.119 x8

=====

The following is a GGA-PBE calculation of a geometry-optimized HoZr3N4 structure, from Alexandria via LeMat-Bulk.

Results
Formation energy from raw total energies (eV/atom): -1.71
ΔE to the lowest computed polymorph (meV/atom): 0
V (Å³ per atom): 12.733

Cell: 6.630 9.333 3.293 Å, 90.00 90.00 90.00°
Space group Cmmm (No. 65)
Symmetry-distinct sites (fractional):
Ho 0.000 0.000 0.000 x2
Zr 0.000 0.500 0.000 x2
Zr 0.250 0.250 0.500 x4
N 0.000 0.254 0.000 x4
N 0.241 0.500 0.500 x4